Compound: PrSiGePd2
Source: the Open Quantum Materials Database
Functional: PBE
Structure: optimized geometry

POSCAR file:
```
PrSiGePd2
1.0
4.3263 0.0000 0.0000
0.0000 4.3263 0.0000
0.0000 0.0000 10.0890
Pd Ge Si Pr
4 2 2 2
direct
0.0000 0.5000 0.3631
0.5000 0.5000 0.0000
0.0000 0.0000 0.0000
0.5000 0.0000 0.6369
0.0000 0.0000 0.5000
0.5000 0.5000 0.5000
0.5000 0.0000 0.8757
0.0000 0.5000 0.1243
0.5000 0.0000 0.2511
0.0000 0.5000 0.7489
```

- electronic total energy (eV per atom) = -5.906

Compound: PrSm2Si2Ge2Pd4
Source: the Open Quantum Materials Database
Functional: PBE
Structure: optimized geometry

POSCAR file:
```
PrSm2Si2Ge2Pd4
1.0
-2.0700 2.1619 12.3966
2.0700 -2.1619 12.3966
2.0700 2.1619 -12.3966
Ge Pd Pr Si Sm
2 4 1 2 2
direct
0.4494 0.4494 0.0000
0.5506 0.5506 0.0000
0.1010 0.6010 0.5000
0.2494 0.2494 0.0000
0.7506 0.7506 0.0000
0.8990 0.3990 0.5000
0.0000 0.0000 0.0000
0.8024 0.3024 0.5000
0.1976 0.6976 0.5000
0.6487 0.1487 0.5000
0.3513 0.8513 0.5000
```

- electronic total energy (eV per atom) = -5.934

Compound: Pr3Zn2Si2Ge2Pd2
Source: the Open Quantum Materials Database
Functional: PBE
Structure: optimized geometry

POSCAR file:
```
Pr3Zn2Si2Ge2Pd2
1.0
7.9017 -5.0953 9.1312
10.6886 -0.0341 7.5848
-10.8618 3.9186 -6.2002
Zn Pd Ge Pr Si
2 2 2 3 2
direct
0.7503 0.2503 0.5000
0.2497 0.7497 0.5000
0.5980 0.5980 0.0000
0.4020 0.4020 0.0000
0.0494 0.5494 0.5000
0.9506 0.4506 0.5000
0.8518 0.8518 0.0000
0.5000 0.0000 0.5000
0.1482 0.1482 0.0000
0.6921 0.6921 0.0000
0.3079 0.3079 0.0000
```

- electronic total energy (eV per atom) = -5.040

- What is the electronic total energy in the first record?
  -5.906 eV per atom

- Look up the electronic total energy of the first one.
  -5.906 eV per atom